No. 1
Entry from Alexandria: crystalline AuS2N at its relaxed geometry (PBE).

## Properties
N(E_F) = 1.362 states/eV/cell
Formation energy without anion corrections = 1.901 eV/f.u.
Space-group type = Cm (8)
Magnetization = 0.00 μB/f.u.
DFT total energy = -4.489 eV/atom

a b c (Å): 3.557 4.987 4.988
angles (deg): 79.34 89.77 89.66
Fractional positions:
Au  0.661  0.653  0.301
S  0.661  0.585  0.807
S  0.661  0.160  0.232
N  0.662  0.252  0.899


No. 2
Entry from Alexandria: crystalline AuS2N at its relaxed geometry (PBE).

## Properties
N(E_F) = 0.909 states/eV/cell
Formation energy without anion corrections = 1.871 eV/f.u.
Space-group type = P1 (1)
Magnetization = 0.00 μB/f.u.
DFT total energy = -4.497 eV/atom

a b c (Å): 4.761 4.812 4.980
angles (deg): 101.36 114.62 110.85
Fractional positions:
S  0.433  0.224  0.941
S  0.345  0.763  0.391
Au  0.924  0.881  0.085
N  0.530  0.972  0.784


No. 3
Entry from Alexandria: crystalline Au2SN at its relaxed geometry (PBE).

## Properties
N(E_F) = 1.764 states/eV/cell
Formation energy without anion corrections = 2.097 eV/f.u.
Space-group type = P1 (1)
Offset from the most stable computed form = 0 kJ/mol of formula units
Magnetization = 0.03 μB/f.u.
DFT total energy = -4.228 eV/atom

a b c (Å): 2.673 4.857 7.589
angles (deg): 108.31 99.92 90.00
Fractional positions:
N  0.928  0.840  0.748
S  0.427  0.036  0.746
Au  0.681  0.409  0.245
Au  0.184  0.912  0.250


No. 4
Entry from Alexandria: crystalline Au2SN at its relaxed geometry (PBE).

## Properties
N(E_F) = 1.513 states/eV/cell
Formation energy without anion corrections = 2.502 eV/f.u.
Space-group type = Pm (6)
Offset from the most stable computed form = 39 kJ/mol of formula units
Magnetization = 0.00 μB/f.u.
DFT total energy = -4.126 eV/atom

a b c (Å): 4.425 3.505 5.332
angles (deg): 90.00 112.64 90.00
Fractional positions:
N  0.640  0.000  0.086
S  0.326  0.000  0.789
Au  0.494  0.000  0.426
Au  0.961  0.500  0.203